An optimized crystal structure of SrMg2TaHg. Source: Alexandria, functional GGA-PBE.

Unit cell a=5.489 b=5.442 c=5.489 alpha=90.00 beta=90.00 gamma=90.00
Sites, in units of the cell vectors:
Sr 0.000 0.000 0.000
Mg 0.000 0.000 0.500
Mg 0.500 0.000 0.000
Hg 0.000 0.500 0.000
Ta 0.500 0.500 0.500

Output
DOS at the Fermi energy in states/eV per cell: 8.393
Energy above the most stable polymorph in this dataset in meV/atom: 1250
Density in g/cm3: 5.24
Calculated total energy in Ha/atom: -0.055
Magnetization in Bohr magnetons per cell: 0.0
SG: P4/mmm, No. 123